Entry 1:
Material: CrAsP2
Method: DFT, PBE-GGA
State: optimized geometry

The structure in extended XYZ format:
```
8
Lattice="-2.771 2.771 5.413 2.771 -2.771 5.413 2.771 2.771 -5.413" Properties=species:S:1:pos:R:3 pbc="T T T"
Cr 0.000 0.000 0.000
Cr 0.000 2.771 2.707
As 2.771 0.000 2.707
As 0.000 0.000 5.413
P 4.156 1.266 -1.353
P 1.266 1.385 1.353
P -1.385 1.505 4.060
P 1.505 1.385 6.767
```

Output
E = -6.11 eV per atom
symmetry = I-42d
formation energy from the elements = 0.16 eV per atom
total moment = 5.8 Bohr magnetons per cell

---

Entry 2:
Material: Cr3AsP
Method: DFT, PBE-GGA
State: optimized geometry

The structure in extended XYZ format:
```
5
Lattice="4.716 0.000 0.000 0.000 4.716 0.000 0.000 0.000 4.716" Properties=species:S:1:pos:R:3 pbc="T T T"
Cr 0.000 0.000 2.358
Cr 0.000 2.358 0.000
Cr 2.358 0.000 0.000
As 0.000 0.000 0.000
P 2.358 2.358 2.358
```

Output
excess energy over the best structure of this formula in the dataset = 0.3999 eV/atom
E = -6.95 eV per atom
symmetry = Pm-3m
formation energy from the elements = 0.84 eV per atom
total moment = 11.9 Bohr magnetons per cell

---

Entry 3:
Material: CrAs3P
Method: DFT, PBE-GGA
State: optimized geometry

The structure in extended XYZ format:
```
5
Lattice="4.670 0.000 0.000 0.000 4.670 0.000 0.000 0.000 4.670" Properties=species:S:1:pos:R:3 pbc="T T T"
Cr 0.000 0.000 0.000
As 0.000 2.335 2.335
As 2.335 0.000 2.335
As 2.335 2.335 0.000
P 2.335 2.335 2.335
```

Output
excess energy over the best structure of this formula in the dataset = 0.5869 eV/atom
E = -4.59 eV per atom
symmetry = Pm-3m
formation energy from the elements = 1.21 eV per atom
total moment = 0.3 Bohr magnetons per cell

---

Entry 4:
Material: Cr2AsP
Method: DFT, PBE-GGA
State: optimized geometry

The structure in extended XYZ format:
```
4
Lattice="1.756 1.014 5.850 -1.756 1.014 5.850 0.000 -2.028 5.850" Properties=species:S:1:pos:R:3 pbc="T T T"
Cr 0.000 0.000 4.243
Cr 0.000 0.000 13.308
As 0.000 0.000 0.000
P 0.000 0.000 8.775
```

Output
E = -7.44 eV per atom
symmetry = R-3m
formation energy from the elements = -0.11 eV per atom
total moment = 5.6 Bohr magnetons per cell